# SiGePt3 (PBE, relaxed)
data_SiGePt3
_cell_length_a 4.5667
_cell_length_b 4.5667
_cell_length_c 4.5667
_cell_angle_alpha 90.00
_cell_angle_beta 90.00
_cell_angle_gamma 90.00
_symmetry_space_group_name_H-M 'P m -3 m'
_symmetry_Int_Tables_number 221
_symmetry_space_group_name_Hall '-P 4 2 3'
loop_
_atom_site_label
_atom_site_type_symbol
_atom_site_fract_x
_atom_site_fract_y
_atom_site_fract_z
Si1 Si 0.0000 0.0000 0.0000
Ge1 Ge 0.5000 0.5000 0.5000
Pt1 Pt 0.0000 0.0000 0.5000
# - D(E_F) (states/eV per cell) = 1.758
# - excess energy over the best structure of this formula in the dataset (meV per atom) = 0
# - formation energy from raw total energies (eV per atom) = 0.144
# - DFT total energy (eV/cell) = -27.44